A relaxed Pm5Dy12Er2 crystal. Source: the Alexandria database, functional PBE.

Computed properties:
- Energy above the lowest structure with this stoichiometry: 14.8 kJ per mole of atoms
- Calculated formation energy: 4.97 kcal/mol of atoms
- V: 33.08 Å³ per atom

a = 9.978 Å, b = 9.978 Å, c = 8.659 Å
α = 112.72°, β = 112.72°, γ = 54.01°
Fractional positions:
Pm 0.000 0.000 0.000
Pm 0.237 0.237 0.791
Pm 0.290 0.290 0.277
Pm 0.710 0.710 0.723
Pm 0.763 0.763 0.209
Dy 0.040 0.669 0.595
Dy 0.046 0.046 0.682
Dy 0.147 0.597 0.044
Dy 0.331 0.960 0.405
Dy 0.403 0.853 0.956
Dy 0.440 0.440 0.784
Dy 0.560 0.560 0.216
Dy 0.597 0.147 0.044
Dy 0.669 0.040 0.595
Dy 0.853 0.403 0.956
Dy 0.954 0.954 0.318
Dy 0.960 0.331 0.405
Er 0.327 0.673 0.500
Er 0.673 0.327 0.500

***

A relaxed Pm3DyEr6 crystal. Source: the Alexandria database, functional PBE.

Computed properties:
- Energy above the lowest structure with this stoichiometry: 12.6 kJ per mole of atoms
- Calculated formation energy: 3.46 kcal/mol of atoms
- V: 32.32 Å³ per atom

a = 10.912 Å, b = 10.912 Å, c = 6.243 Å
α = 90.00°, β = 90.00°, γ = 119.61°
Fractional positions:
Pm 0.110 0.890 0.500
Pm 0.216 0.438 0.107
Pm 0.438 0.216 0.607
Pm 0.562 0.784 0.107
Pm 0.784 0.562 0.607
Pm 0.890 0.110 0.000
Dy 0.298 0.702 0.429
Dy 0.702 0.298 0.929
Er 0.035 0.456 0.699
Er 0.118 0.212 0.527
Er 0.212 0.118 0.027
Er 0.223 0.777 0.924
Er 0.456 0.035 0.199
Er 0.456 0.544 0.670
Er 0.544 0.456 0.170
Er 0.544 0.965 0.699
Er 0.777 0.223 0.424
Er 0.788 0.882 0.527
Er 0.882 0.788 0.027
Er 0.965 0.544 0.199

***

A relaxed Pm6Dy7Er16 crystal. Source: the Alexandria database, functional PBE.

Computed properties:
- Calculated formation energy: 5.63 kcal/mol of atoms
- V: 33.40 Å³ per atom

a = 11.106 Å, b = 11.106 Å, c = 11.106 Å
α = 60.00°, β = 60.00°, γ = 60.00°
Fractional positions:
Pm 0.222 0.222 0.778
Pm 0.222 0.778 0.222
Pm 0.222 0.778 0.778
Pm 0.778 0.222 0.222
Pm 0.778 0.222 0.778
Pm 0.778 0.778 0.222
Dy 0.000 0.000 0.500
Dy 0.000 0.500 0.000
Dy 0.000 0.500 0.500
Dy 0.500 0.000 0.000
Dy 0.500 0.000 0.500
Dy 0.500 0.500 0.000
Dy 0.500 0.500 0.500
Er 0.128 0.624 0.624
Er 0.153 0.153 0.153
Er 0.153 0.153 0.542
Er 0.153 0.542 0.153
Er 0.376 0.376 0.376
Er 0.376 0.376 0.872
Er 0.376 0.872 0.376
Er 0.458 0.847 0.847
Er 0.542 0.153 0.153
Er 0.624 0.128 0.624
Er 0.624 0.624 0.128
Er 0.624 0.624 0.624
Er 0.847 0.458 0.847
Er 0.847 0.847 0.458
Er 0.847 0.847 0.847
Er 0.872 0.376 0.376

***

A relaxed PmDyEr crystal. Source: the Alexandria database, functional PBE.

Computed properties:
- Energy above the lowest structure with this stoichiometry: 12.4 kJ per mole of atoms
- Calculated formation energy: 3.42 kcal/mol of atoms
- V: 32.89 Å³ per atom

a = 6.928 Å, b = 6.954 Å, c = 8.375 Å
α = 90.00°, β = 101.97°, γ = 90.00°
Fractional positions:
Pm 0.172 0.000 0.185
Pm 0.328 0.500 0.815
Pm 0.672 0.500 0.185
Pm 0.828 0.000 0.815
Dy 0.171 0.500 0.191
Dy 0.329 0.000 0.809
Dy 0.671 0.000 0.191
Dy 0.829 0.500 0.809
Er 0.000 0.250 0.500
Er 0.000 0.750 0.500
Er 0.500 0.250 0.500
Er 0.500 0.750 0.500

***

A relaxed PmDyEr crystal. Source: the Alexandria database, functional PBE.

Computed properties:
- Energy above the lowest structure with this stoichiometry: 0.0 kJ per mole of atoms
- Calculated formation energy: 0.44 kcal/mol of atoms
- V: 32.04 Å³ per atom

a = 7.971 Å, b = 7.971 Å, c = 10.102 Å
α = 90.00°, β = 90.00°, γ = 143.20°
Fractional positions:
Pm 0.083 0.917 0.874
Pm 0.417 0.583 0.374
Pm 0.583 0.417 0.626
Pm 0.917 0.083 0.126
Dy 0.249 0.751 0.125
Dy 0.251 0.749 0.625
Dy 0.749 0.251 0.375
Dy 0.751 0.249 0.875
Er 0.084 0.916 0.375
Er 0.416 0.584 0.875
Er 0.584 0.416 0.125
Er 0.916 0.084 0.625

***

A relaxed PmDy5Er7 crystal. Source: the Alexandria database, functional PBE.

Computed properties:
- Energy above the lowest structure with this stoichiometry: 0.2 kJ per mole of atoms
- Calculated formation energy: 5.91 kcal/mol of atoms
- V: 32.44 Å³ per atom

a = 8.632 Å, b = 8.632 Å, c = 8.632 Å
α = 134.67°, β = 100.49°, γ = 96.59°
Fractional positions:
Pm 0.000 0.000 0.000
Dy 0.028 0.033 0.461
Dy 0.028 0.567 0.995
Dy 0.571 0.033 0.005
Dy 0.571 0.567 0.539
Dy 0.799 0.299 0.500
Er 0.221 0.551 0.670
Er 0.302 0.802 0.500
Er 0.304 0.304 0.000
Er 0.381 0.050 0.331
Er 0.609 0.609 0.000
Er 0.719 0.050 0.669
Er 0.881 0.551 0.330